Compound: SrAgRh2
Source: the Alexandria database
Functional: GGA-PBEsol
Structure: relaxed

Calculated values
ΔE_f = 339.6 meV/atom
Fermi-level density of states = 1.9040 states/eV/atom
M_tot = 0.02 Bohr magnetons per cell
Volume = 18.48 A^3/atom
Crystal system = tetragonal
Uncorrected energy = -20.07 eV/cell

a = 3.395 Å, b = 3.395 Å, c = 6.412 Å
α = 90.00°, β = 90.00°, γ = 90.00°
Fractional coordinates of all 4 atoms:
Rh 0.000 0.000 0.296
Sr 0.500 0.500 0.000
Rh 0.000 0.000 0.704
Ag 0.500 0.500 0.500